1.
## CsS2ICl (PBE-GGA)

Data for CsS2ICl after structural relaxation.

Cell and atoms, written as POSCAR:
```
CsS2ICl
1.0
-2.178 -5.134 -1.641
-0.683 -1.493 5.577
-5.856 2.500 -0.047
S I Cl Cs
2 1 1 1
Direct
0.500 0.000 0.000 S
0.000 0.500 0.000 S
0.500 0.500 0.500 I
0.000 0.000 0.500 Cl
0.000 0.000 0.000 Cs
```

Output
* space-group type: P4/mmm


2.
## CsS2ICl (PBE-GGA)

Data for CsS2ICl after structural relaxation.

Cell and atoms, written as POSCAR:
```
CsS2ICl
1.0
-2.436 -3.681 2.783
3.591 0.464 3.757
-3.271 4.141 2.615
S I Cs Cl
2 1 1 1
Direct
0.000 0.500 0.000 S
0.500 0.000 0.000 S
0.000 0.000 0.000 I
0.500 0.500 0.500 Cs
0.000 0.000 0.500 Cl
```

Output
* space-group type: P4/mmm


Most stable: 2


1.
## Cs2SbICl6 (PBE-GGA)

Data for Cs2SbICl6 after structural relaxation.

Cell and atoms, written as POSCAR:
```
Cs2SbICl6
1.0
7.377 0.000 0.000
3.689 6.389 0.000
3.689 2.130 18.508
Cl Cs Sb I
12 4 2 2
Direct
0.850 0.363 0.424 Cl
0.289 0.816 0.078 Cl
0.184 0.711 0.922 Cl
0.363 0.850 0.424 Cl
0.184 0.184 0.922 Cl
0.637 0.150 0.576 Cl
0.816 0.816 0.078 Cl
0.637 0.637 0.576 Cl
0.363 0.363 0.424 Cl
0.816 0.289 0.078 Cl
0.711 0.184 0.922 Cl
0.150 0.637 0.576 Cl
0.700 0.700 0.899 Cs
0.865 0.865 0.405 Cs
0.135 0.135 0.595 Cs
0.300 0.300 0.101 Cs
0.000 0.000 0.000 Sb
0.500 0.500 0.500 Sb
0.406 0.406 0.781 I
0.594 0.594 0.219 I
```

Output
* space-group type: R-3m


2.
## Cs2SbICl6 (PBE-GGA)

Data for Cs2SbICl6 after structural relaxation.

Cell and atoms, written as POSCAR:
```
Cs2SbICl6
1.0
-3.115 -7.312 2.030
6.261 -1.237 5.153
-1.454 -1.799 7.863
Cs Sb I Cl
2 1 1 6
Direct
0.250 0.750 0.500 Cs
0.750 0.250 0.500 Cs
0.500 0.500 0.000 Sb
0.000 0.000 0.000 I
0.716 0.716 0.000 Cl
0.284 0.284 0.432 Cl
0.284 0.284 0.000 Cl
0.716 0.716 0.568 Cl
0.284 0.716 0.000 Cl
0.716 0.284 0.000 Cl
```

Output
* space-group type: I4/mmm


Most stable: 2


1.
## CsSb2ICl (PBE-GGA)

Data for CsSb2ICl after structural relaxation.

Cell and atoms, written as POSCAR:
```
CsSb2ICl
1.0
6.567 0.000 0.000
0.000 6.567 0.000
0.000 0.000 6.648
I Sb Cs Cl
1 2 1 1
Direct
0.000 0.000 0.500 I
0.000 0.500 0.000 Sb
0.500 0.000 0.000 Sb
0.000 0.000 0.000 Cs
0.500 0.500 0.500 Cl
```

Output
* space-group type: P4/mmm


2.
## CsSb2ICl (PBE-GGA)

Data for CsSb2ICl after structural relaxation.

Cell and atoms, written as POSCAR:
```
CsSb2ICl
1.0
5.330 0.000 0.000
0.000 5.330 0.000
0.000 0.000 8.033
Sb Cl Cs I
2 1 1 1
Direct
0.000 0.500 0.000 Sb
0.500 0.000 0.000 Sb
0.000 0.000 0.000 Cl
0.500 0.500 0.500 Cs
0.000 0.000 0.500 I
```

Output
* space-group type: P4/mmm


Most stable: 2


1.
## Cs2SnICl6 (PBE-GGA)

Data for Cs2SnICl6 after structural relaxation.

Cell and atoms, written as POSCAR:
```
Cs2SnICl6
1.0
-8.158 -0.317 -2.048
0.572 -8.339 -0.988
-5.100 -5.047 3.800
Cs Cl Sn I
2 6 1 1
Direct
0.750 0.250 0.500 Cs
0.250 0.750 0.500 Cs
0.292 0.292 0.000 Cl
0.729 0.729 0.543 Cl
0.292 0.708 0.000 Cl
0.708 0.708 0.000 Cl
0.271 0.271 0.457 Cl
0.708 0.292 0.000 Cl
0.500 0.500 0.000 Sn
0.000 0.000 0.000 I
```

Output
* space-group type: I4/mmm


2.
## Cs2SnICl6 (PBE-GGA)

Data for Cs2SnICl6 after structural relaxation.

Cell and atoms, written as POSCAR:
```
Cs2SnICl6
1.0
-3.541 5.315 3.917
-7.900 -6.318 1.431
4.592 -3.673 9.136
Cl Cs I Sn
12 4 2 2
Direct
0.737 0.360 0.500 Cl
0.000 0.815 0.769 Cl
0.500 0.185 0.269 Cl
0.237 0.640 0.000 Cl
0.729 0.018 0.500 Cl
0.771 0.982 0.000 Cl
0.500 0.185 0.731 Cl
0.229 0.982 0.000 Cl
0.271 0.018 0.500 Cl
0.000 0.815 0.231 Cl
0.763 0.640 0.000 Cl
0.263 0.360 0.500 Cl
0.000 0.184 0.259 Cs
0.500 0.816 0.241 Cs
0.000 0.184 0.741 Cs
0.500 0.816 0.759 Cs
0.500 0.302 0.000 I
0.000 0.698 0.500 I
0.500 0.196 0.500 Sn
0.000 0.804 0.000 Sn
```

Output
* space-group type: Pmmn


Most stable: 2


1.
## CsTeICl2 (PBE-GGA)

Data for CsTeICl2 after structural relaxation.

Cell and atoms, written as POSCAR:
```
CsTeICl2
1.0
5.848 0.000 0.000
0.000 5.811 0.000
0.000 0.000 5.848
Te Cl I Cs
1 2 1 1
Direct
0.000 0.500 0.000 Te
0.000 0.000 0.500 Cl
0.500 0.000 0.000 Cl
0.000 0.000 0.000 I
0.500 0.500 0.500 Cs
```

Output
* space-group type: P4/mmm


2.
## CsTeICl2 (PBE-GGA)

Data for CsTeICl2 after structural relaxation.

Cell and atoms, written as POSCAR:
```
CsTeICl2
1.0
5.616 0.000 0.000
0.000 5.616 0.000
0.000 0.000 6.259
I Cl Cs Te
1 2 1 1
Direct
0.000 0.000 0.500 I
0.500 0.000 0.000 Cl
0.000 0.500 0.000 Cl
0.500 0.500 0.500 Cs
0.000 0.000 0.000 Te
```

Output
* space-group type: P4/mmm


Most stable: 2


1.
## CsInCl2 (PBE-GGA)

Data for CsInCl2 after structural relaxation.

Cell and atoms, written as POSCAR:
```
CsInCl2
1.0
2.986 0.000 9.365
-1.493 2.586 9.365
-1.493 -2.586 9.365
In Cl Cs
1 2 1
Direct
0.000 0.000 0.000 In
0.900 0.900 0.900 Cl
0.100 0.100 0.100 Cl
0.500 0.500 0.500 Cs
```

Output
* space-group type: R-3m


2.
## CsInCl2 (PBE-GGA)

Data for CsInCl2 after structural relaxation.

Cell and atoms, written as POSCAR:
```
CsInCl2
1.0
-0.913 3.832 0.795
-3.577 -1.708 4.128
4.274 0.230 3.799
Cl Cs In
2 1 1
Direct
0.000 0.000 0.500 Cl
0.000 0.500 0.000 Cl
0.500 0.500 0.500 Cs
0.500 0.000 0.000 In
```

Output
* space-group type: P4/mmm


3.
## CsInCl2 (PBE-GGA)

Data for CsInCl2 after structural relaxation.

Cell and atoms, written as POSCAR:
```
CsInCl2
1.0
4.687 0.000 0.000
2.343 4.059 0.000
2.343 1.353 8.089
Cs In Cl
1 1 2
Direct
0.499 0.499 0.503 Cs
0.668 0.668 0.997 In
0.257 0.257 0.228 Cl
0.076 0.076 0.772 Cl
```

Output
* space-group type: R3m


Most stable: 3


1.
## CsInCl2 (PBE-GGA)

Data for CsInCl2 after structural relaxation.

Cell and atoms, written as POSCAR:
```
CsInCl2
1.0
-0.224 -1.237 5.575
-4.660 -2.477 2.192
0.203 -5.443 1.730
Cl Cs In
2 1 1
Direct
0.750 0.750 0.750 Cl
0.250 0.250 0.250 Cl
0.500 0.500 0.500 Cs
0.000 0.000 0.000 In
```

Output
* space-group type: Fm-3m


2.
## CsInCl2 (PBE-GGA)

Data for CsInCl2 after structural relaxation.

Cell and atoms, written as POSCAR:
```
CsInCl2
1.0
6.111 0.000 -2.688
-0.991 6.633 -2.254
0.005 -0.962 8.302
Cl In Cs
4 2 2
Direct
0.145 0.894 0.290 Cl
0.634 0.493 0.267 Cl
0.855 0.106 0.710 Cl
0.366 0.507 0.733 Cl
0.636 0.886 0.271 In
0.364 0.114 0.729 In
0.118 0.366 0.235 Cs
0.882 0.634 0.765 Cs
```

Output
* space-group type: C2/m


Most stable: 2


1.
## CsInCl2 (PBE-GGA)

Data for CsInCl2 after structural relaxation.

Cell and atoms, written as POSCAR:
```
CsInCl2
1.0
-6.755 -2.227 -1.645
-0.224 -3.884 6.177
-6.411 3.051 6.000
Cs Cl In
2 4 2
Direct
0.750 0.250 0.500 Cs
0.000 0.000 0.000 Cs
0.375 0.414 0.750 Cl
0.164 0.625 0.250 Cl
0.586 0.125 0.250 Cl
0.875 0.836 0.750 Cl
0.500 0.500 0.000 In
0.250 0.750 0.500 In
```

Output
* space-group type: I-42d


2.
## CsInCl2 (PBE-GGA)

Data for CsInCl2 after structural relaxation.

Cell and atoms, written as POSCAR:
```
CsInCl2
1.0
4.028 0.000 0.000
0.000 4.028 0.000
0.000 0.000 8.073
Cs In Cl
1 1 2
Direct
0.500 0.500 0.500 Cs
0.500 0.500 0.000 In
0.000 0.000 0.235 Cl
0.000 0.000 0.765 Cl
```

Output
* space-group type: P4/mmm


Most stable: 2


1.
## CsIn3Cl (PBE-GGA)

Data for CsIn3Cl after structural relaxation.

Cell and atoms, written as POSCAR:
```
CsIn3Cl
1.0
-4.464 4.980 -1.682
-4.946 -4.726 -0.866
-1.778 0.646 6.632
Cs In Cl
1 3 1
Direct
0.000 0.000 0.000 Cs
0.500 0.000 0.000 In
0.000 0.000 0.500 In
0.000 0.500 0.000 In
0.500 0.500 0.500 Cl
```

Output
* space-group type: Pm-3m


2.
## CsIn3Cl (PBE-GGA)

Data for CsIn3Cl after structural relaxation.

Cell and atoms, written as POSCAR:
```
CsIn3Cl
1.0
-3.738 -1.306 -4.463
-4.243 -1.388 3.959
-1.905 5.654 -0.060
In Cl Cs
3 1 1
Direct
0.000 0.000 0.500 In
0.500 0.000 0.000 In
0.000 0.500 0.000 In
0.000 0.000 0.000 Cl
0.500 0.500 0.500 Cs
```

Output
* space-group type: Pm-3m


Most stable: 2


1.
## CsInS2Cl (PBE-GGA)

Data for CsInS2Cl after structural relaxation.

Cell and atoms, written as POSCAR:
```
CsInS2Cl
1.0
-0.084 -2.395 5.071
-4.844 -2.525 -1.272
3.265 -5.081 -2.345
S In Cs Cl
2 1 1 1
Direct
0.500 0.000 0.000 S
0.000 0.500 0.000 S
0.500 0.500 0.500 In
0.000 0.000 0.000 Cs
0.000 0.000 0.500 Cl
```

Output
* space-group type: P4/mmm


2.
## CsInS2Cl (PBE-GGA)

Data for CsInS2Cl after structural relaxation.

Cell and atoms, written as POSCAR:
```
CsInS2Cl
1.0
-2.245 0.317 4.626
2.772 -4.028 1.621
4.132 3.553 1.762
S Cs Cl In
2 1 1 1
Direct
0.000 0.500 0.000 S
0.500 0.000 0.000 S
0.500 0.500 0.500 Cs
0.000 0.000 0.500 Cl
0.000 0.000 0.000 In
```

Output
* space-group type: P4/mmm


Most stable: 2


1.
## Cs2YInCl6 (PBE-GGA)

Data for Cs2YInCl6 after structural relaxation.

Cell and atoms, written as POSCAR:
```
Cs2YInCl6
1.0
-0.795 7.212 -3.189
-4.605 2.302 6.354
9.309 3.476 5.486
In Cl Cs Y
2 12 4 2
Direct
0.000 0.500 0.500 In
0.500 0.000 0.000 In
0.574 0.019 0.272 Cl
0.229 0.185 0.463 Cl
0.182 0.232 0.040 Cl
0.426 0.981 0.728 Cl
0.818 0.768 0.960 Cl
0.926 0.519 0.228 Cl
0.074 0.481 0.772 Cl
0.318 0.732 0.460 Cl
0.682 0.268 0.540 Cl
0.771 0.815 0.537 Cl
0.729 0.315 0.963 Cl
0.271 0.685 0.037 Cl
0.514 0.553 0.750 Cs
0.486 0.447 0.250 Cs
0.986 0.053 0.750 Cs
0.014 0.947 0.250 Cs
0.000 0.500 0.000 Y
0.500 0.000 0.500 Y
```

Output
* space-group type: P2_1/c


2.
## Cs2YInCl6 (PBE-GGA)

Data for Cs2YInCl6 after structural relaxation.

Cell and atoms, written as POSCAR:
```
Cs2YInCl6
1.0
-4.407 -0.324 6.780
-3.333 -6.997 2.329
2.859 -3.877 6.503
In Cl Cs Y
1 6 2 1
Direct
0.500 0.500 0.500 In
0.769 0.769 0.231 Cl
0.769 0.231 0.769 Cl
0.769 0.231 0.231 Cl
0.231 0.769 0.769 Cl
0.231 0.231 0.769 Cl
0.231 0.769 0.231 Cl
0.250 0.250 0.250 Cs
0.750 0.750 0.750 Cs
0.000 0.000 0.000 Y
```

Output
* space-group type: Fm-3m


Most stable: 1